one:
# DyHo8Er2, optimized geometry, DFT PBE
data_DyHo8Er2
_chemical_formula_sum 'Dy2 Ho16 Er4'
_cell_length_a 17.0761
_cell_length_b 6.6521
_cell_length_c 6.3908
_cell_angle_alpha 90.00
_cell_angle_beta 103.90
_cell_angle_gamma 90.00
_symmetry_space_group_name_H-M 'C 1 2/m 1'
_symmetry_Int_Tables_number 12
loop_
_symmetry_equiv_pos_as_xyz
'x,y,z'
'-x,-y,-z'
'-x,y,-z'
'x,-y,z'
'x+1/2,y+1/2,z'
'-x+1/2,-y+1/2,-z'
'-x+1/2,y+1/2,-z'
'x+1/2,-y+1/2,z'
loop_
_atom_site_label
_atom_site_fract_x
_atom_site_fract_y
_atom_site_fract_z
Dy1 0.0000 0.0000 0.0000
Ho1 0.0834 0.5000 0.9150
Ho2 0.0948 0.2550 0.4559
Ho3 0.2138 0.0000 0.1723
Er1 0.2434 0.5000 0.3045
# - magnetic moment (μB per cell) = 0.001

two:
# DyHo8Er2, optimized geometry, DFT PBE
data_DyHo8Er2
_chemical_formula_sum 'Dy2 Ho16 Er4'
_cell_length_a 18.8087
_cell_length_b 6.8630
_cell_length_c 5.5044
_cell_angle_alpha 90.00
_cell_angle_beta 92.93
_cell_angle_gamma 90.00
_symmetry_space_group_name_H-M 'C 1 2/m 1'
_symmetry_Int_Tables_number 12
loop_
_symmetry_equiv_pos_as_xyz
'x,y,z'
'-x,-y,-z'
'-x,y,-z'
'x,-y,z'
'x+1/2,y+1/2,z'
'-x+1/2,-y+1/2,-z'
'-x+1/2,y+1/2,-z'
'x+1/2,-y+1/2,z'
loop_
_atom_site_label
_atom_site_fract_x
_atom_site_fract_y
_atom_site_fract_z
Dy1 0.0000 0.0000 0.0000
Ho1 0.0466 0.5000 0.2360
Ho2 0.1323 0.2658 0.7317
Ho3 0.1876 0.0000 0.2324
Er1 0.2159 0.5000 0.2509
# - magnetic moment (μB per cell) = 0.002

Most stable: two (next structure +0.053 eV/atom)

one:
# DyHoErIn, optimized geometry, DFT PBE
data_DyHoErIn
_chemical_formula_sum 'Dy4 Ho4 Er4 In4'
_cell_length_a 7.6681
_cell_length_b 7.6681
_cell_length_c 7.6681
_cell_angle_alpha 90.00
_cell_angle_beta 90.00
_cell_angle_gamma 90.00
_symmetry_space_group_name_H-M 'F -4 3 m'
_symmetry_Int_Tables_number 216
_symmetry_space_group_name_Hall 'F -4 2 3'
loop_
_atom_site_label
_atom_site_fract_x
_atom_site_fract_y
_atom_site_fract_z
Dy1 0.0000 0.0000 0.0000
Ho1 0.2500 0.2500 0.2500
Er1 0.0000 0.0000 0.5000
In1 0.2500 0.2500 0.7500
# - magnetic moment (μB per cell) = 3.725

two:
# DyHoErIn, optimized geometry, DFT PBE
data_DyHoErIn
_chemical_formula_sum 'Dy1 Ho1 Er1 In1'
_cell_length_a 4.8198
_cell_length_b 4.8240
_cell_length_c 4.8241
_cell_angle_alpha 90.00
_cell_angle_beta 90.00
_cell_angle_gamma 90.00
_symmetry_space_group_name_H-M 'P m m m'
_symmetry_Int_Tables_number 47
loop_
_symmetry_equiv_pos_as_xyz
'x,y,z'
'-x,-y,-z'
'-x,-y,z'
'x,y,-z'
'x,-y,-z'
'-x,y,z'
'-x,y,-z'
'x,-y,z'
loop_
_atom_site_label
_atom_site_fract_x
_atom_site_fract_y
_atom_site_fract_z
Dy1 0.0000 0.0000 0.0000
Ho1 0.0000 0.5000 0.5000
Er1 0.5000 0.5000 0.0000
In1 0.5000 0.0000 0.5000
# - magnetic moment (μB per cell) = 0.000

Most stable: two (next structure +0.146 eV/atom)

one:
# LaDyHoEr, optimized geometry, DFT PBE
data_LaDyHoEr
_chemical_formula_sum 'La4 Dy4 Ho4 Er4'
_cell_length_a 8.0851
_cell_length_b 8.0851
_cell_length_c 8.0851
_cell_angle_alpha 90.00
_cell_angle_beta 90.00
_cell_angle_gamma 90.00
_symmetry_space_group_name_H-M 'F -4 3 m'
_symmetry_Int_Tables_number 216
_symmetry_space_group_name_Hall 'F -4 2 3'
loop_
_atom_site_label
_atom_site_fract_x
_atom_site_fract_y
_atom_site_fract_z
La1 0.0000 0.0000 0.0000
Dy1 0.0000 0.0000 0.5000
Ho1 0.2500 0.2500 0.7500
Er1 0.2500 0.2500 0.2500
# - magnetic moment (μB per cell) = 0.032

two:
# LaDyHoEr, optimized geometry, DFT PBE
data_LaDyHoEr
_chemical_formula_sum 'La2 Dy2 Ho2 Er2'
_cell_length_a 6.2123
_cell_length_b 3.5845
_cell_length_c 11.8497
_cell_angle_alpha 90.00
_cell_angle_beta 100.06
_cell_angle_gamma 90.00
_symmetry_space_group_name_H-M 'C 1 m 1'
_symmetry_Int_Tables_number 8
loop_
_symmetry_equiv_pos_as_xyz
'x,y,z'
'x,-y,z'
'x+1/2,y+1/2,z'
'x+1/2,-y+1/2,z'
loop_
_atom_site_label
_atom_site_fract_x
_atom_site_fract_y
_atom_site_fract_z
La1 0.0000 0.0000 0.0000
Dy1 0.2471 0.0000 0.7421
Ho1 0.4189 0.0000 0.2599
Er1 0.3338 0.5000 0.5015
# - magnetic moment (μB per cell) = 0.001

Most stable: two (next structure +0.085 eV/atom)

one:
# DyHoErMg, optimized geometry, DFT PBE
data_DyHoErMg
_chemical_formula_sum 'Dy4 Ho4 Er4 Mg4'
_cell_length_a 7.7339
_cell_length_b 7.7339
_cell_length_c 7.7339
_cell_angle_alpha 90.00
_cell_angle_beta 90.00
_cell_angle_gamma 90.00
_symmetry_space_group_name_H-M 'F -4 3 m'
_symmetry_Int_Tables_number 216
_symmetry_space_group_name_Hall 'F -4 2 3'
loop_
_atom_site_label
_atom_site_fract_x
_atom_site_fract_y
_atom_site_fract_z
Dy1 0.0000 0.0000 0.0000
Ho1 0.0000 0.0000 0.5000
Er1 0.2500 0.2500 0.7500
Mg1 0.2500 0.2500 0.2500
# - magnetic moment (μB per cell) = 0.015

two:
# DyHoErMg, optimized geometry, DFT PBE
data_DyHoErMg
_chemical_formula_sum 'Dy1 Ho1 Er1 Mg1'
_cell_length_a 3.5492
_cell_length_b 3.5492
_cell_length_c 9.2710
_cell_angle_alpha 90.00
_cell_angle_beta 90.00
_cell_angle_gamma 90.00
_symmetry_space_group_name_H-M 'P 4 m m'
_symmetry_Int_Tables_number 99
loop_
_symmetry_equiv_pos_as_xyz
'x,y,z'
'-y,x,z'
'-x,-y,z'
'y,-x,z'
'-x,y,z'
'y,x,z'
'x,-y,z'
'-y,-x,z'
loop_
_atom_site_label
_atom_site_fract_x
_atom_site_fract_y
_atom_site_fract_z
Dy1 0.0000 0.0000 0.0000
Ho1 0.0000 0.0000 0.5235
Er1 0.5000 0.5000 0.2623
Mg1 0.5000 0.5000 0.7609
# - magnetic moment (μB per cell) = 0.000

Most stable: two (next structure +0.071 eV/atom)